# 1
! Li3BrCl, single point on PBEsol structure, DFT meta-GGA SCAN; values from VASP
&SYSTEM
  ibrav = 0, nat = 5, ntyp = 3
/
ATOMIC_SPECIES
Li 6.94 Li.upf
Br 79.90 Br.upf
Cl 35.45 Cl.upf
ATOMIC_POSITIONS angstrom
Li 2.3029 -0.3054 0.4115
Li 0.0405 1.9971 1.2553
Li -0.5109 -1.2183 1.9547
Br 1.8325 0.4734 3.6215
Cl 0.0000 0.0000 0.0000
CELL_PARAMETERS angstrom
-1.0217 -2.4365 3.9093
4.6057 -0.6108 0.8231
0.0810 3.9942 2.5106
! SG = No. 221
! total energy = -39.940 eV/cell

=====

# 2
! LiBr2Cl, single point on PBEsol structure, DFT meta-GGA SCAN; values from VASP
&SYSTEM
  ibrav = 0, nat = 4, ntyp = 3
/
ATOMIC_SPECIES
Li 6.94 Li.upf
Br 79.90 Br.upf
Cl 35.45 Cl.upf
ATOMIC_POSITIONS angstrom
Li -2.2905 1.2694 -0.7531
Br -0.4399 3.4364 2.2003
Br -1.9157 1.4437 3.3301
Cl 0.0000 0.0000 0.0000
CELL_PARAMETERS angstrom
-0.8148 3.2620 -1.8829
-3.7663 -0.7233 0.3767
2.2255 2.3413 7.0366
! SG = No. 139
! polymorph energy (0 for the lowest one) = 87 meV per atom

=====

# 3
! LiBr2Cl, single point on PBEsol structure, DFT meta-GGA SCAN; values from VASP
&SYSTEM
  ibrav = 0, nat = 4, ntyp = 3
/
ATOMIC_SPECIES
Cl 35.45 Cl.upf
Br 79.90 Br.upf
Li 6.94 Li.upf
ATOMIC_POSITIONS angstrom
Cl 0.0000 0.0000 0.0000
Br -0.2339 -7.4231 -0.7258
Br 2.3389 -4.2297 2.7768
Li 1.0525 -5.8264 1.0255
CELL_PARAMETERS angstrom
-2.4151 -3.2828 0.0247
0.8045 -3.1403 -2.4701
3.7157 -5.2297 4.4964
! SG = No. 166
! polymorph energy (0 for the lowest one) = 0 meV per atom

=====

# 4
! LiSe2BrCl, single point on PBEsol structure, DFT meta-GGA SCAN; values from VASP
&SYSTEM
  ibrav = 0, nat = 5, ntyp = 4
/
ATOMIC_SPECIES
Li 6.94 Li.upf
Se 78.96 Se.upf
Br 79.90 Br.upf
Cl 35.45 Cl.upf
ATOMIC_POSITIONS angstrom
Li 0.0000 0.0000 0.0000
Se 0.0000 0.0000 2.3605
Se 0.0000 2.3605 0.0000
Br 2.3092 0.0000 0.0000
Cl 2.3092 2.3605 2.3605
CELL_PARAMETERS angstrom
4.6184 0.0000 0.0000
0.0000 4.7210 0.0000
0.0000 0.0000 4.7210
! SG = No. 123
! total energy = -68.657 eV/cell

=====

# 5
! Mg2BrCl, single point on PBEsol structure, DFT meta-GGA SCAN; values from VASP
&SYSTEM
  ibrav = 0, nat = 4, ntyp = 3
/
ATOMIC_SPECIES
Br 79.90 Br.upf
Cl 35.45 Cl.upf
Mg 24.30 Mg.upf
ATOMIC_POSITIONS angstrom
Br -2.0156 -5.0995 -1.1313
Cl -2.7459 -8.7125 -1.7236
Mg -0.7244 -10.0471 -1.2557
Mg -0.9582 -2.7397 -0.5704
CELL_PARAMETERS angstrom
-3.1394 -0.7936 -1.0230
0.5462 -4.7736 -3.6094
-1.2402 -5.3897 2.3509
! SG = No. 44
! total energy = -41.454 eV/cell

=====

# 6
! MgS2BrCl, single point on PBEsol structure, DFT meta-GGA SCAN; values from VASP
&SYSTEM
  ibrav = 0, nat = 5, ntyp = 4
/
ATOMIC_SPECIES
S 32.06 S.upf
Mg 24.30 Mg.upf
Br 79.90 Br.upf
Cl 35.45 Cl.upf
ATOMIC_POSITIONS angstrom
S -0.3386 -0.7045 2.3174
S -1.2468 -1.9554 -0.7766
Mg 0.0000 0.0000 0.0000
Br -3.5304 -1.4527 1.6236
Cl -1.9450 1.2072 0.0828
CELL_PARAMETERS angstrom
-3.8900 2.4145 0.1656
-2.4935 -3.9109 -1.5532
-0.6772 -1.4089 4.6348
! SG = No. 123
! total energy = -51.646 eV/cell

=====

# 7
! MgSBrCl2, single point on PBEsol structure, DFT meta-GGA SCAN; values from VASP
&SYSTEM
  ibrav = 0, nat = 5, ntyp = 4
/
ATOMIC_SPECIES
S 32.06 S.upf
Mg 24.30 Mg.upf
Br 79.90 Br.upf
Cl 35.45 Cl.upf
ATOMIC_POSITIONS angstrom
S -1.0869 0.4684 2.1843
Mg -0.0282 -2.7395 3.3991
Br 0.0000 0.0000 0.0000
Cl 2.0542 -0.8728 1.2093
Cl -0.9954 -2.3352 0.0054
CELL_PARAMETERS angstrom
-1.9908 -4.6703 0.0109
4.1083 -1.7456 2.4187
-2.1739 0.9369 4.3687
! SG = No. 123
! total energy = -48.925 eV/cell

=====

# 8
! Mn2BrCl, single point on PBEsol structure, DFT meta-GGA SCAN; values from VASP
&SYSTEM
  ibrav = 0, nat = 4, ntyp = 3
/
ATOMIC_SPECIES
Mn 54.94 Mn.upf
Br 79.90 Br.upf
Cl 35.45 Cl.upf
ATOMIC_POSITIONS angstrom
Mn 1.8661 0.7460 -1.6038
Mn 1.3315 -1.1083 1.8999
Br 0.0000 0.0000 0.0000
Cl 3.1976 -0.3623 0.2961
CELL_PARAMETERS angstrom
-1.7860 -2.3762 -1.5301
3.7322 1.4921 -3.2076
2.6630 -2.2167 3.7999
! SG = No. 12
! polymorph energy (0 for the lowest one) = 134 meV per atom